No. 1
Computed, not measured: an optimized crystal structure of Er5HfN6 at the GGA-PBE level of DFT.

a = 5.856 Å, b = 5.856 Å, c = 5.857 Å
α = 99.61°, β = 99.61°, γ = 119.97°
Positions (direct):
Er 0.000 0.000 0.000
Er 0.167 0.833 0.500
Er 0.334 0.666 0.000
Er 0.666 0.334 0.000
Er 0.833 0.167 0.500
Hf 0.500 0.500 0.500
N 0.100 0.420 0.259
N 0.261 0.261 0.742
N 0.420 0.100 0.259
N 0.580 0.900 0.741
N 0.739 0.739 0.258
N 0.900 0.580 0.741

Computed properties:
The value obtained for the total magnetic moment is 0.0000 μB/atom. For the theoretical density, the calculation gives 11.12 g/cm3. The raw formation energy is -1.82 eV/atom. Its symmetry is C2/m, No. 12.

No. 2
Computed, not measured: an optimized crystal structure of Er3HfN4 at the GGA-PBE level of DFT.

a = 5.820 Å, b = 5.820 Å, c = 3.354 Å
α = 90.00°, β = 90.00°, γ = 109.25°
Positions (direct):
Er 0.000 0.000 0.000
Er 0.000 0.500 0.500
Er 0.500 0.000 0.500
Hf 0.500 0.500 0.000
N 0.259 0.741 0.000
N 0.265 0.265 0.500
N 0.735 0.735 0.500
N 0.741 0.259 0.000

Computed properties:
The value obtained for the total magnetic moment is 0.0000 μB/atom. As for the offset from the most stable computed form: 0.000 eV per atom. For the theoretical density, the calculation gives 11.40 g/cm3. The raw formation energy is -1.82 eV/atom. Its symmetry is Cmmm, No. 65.